*w*
VASP calculation (PBE) on a geometry-optimized LiLuCuSb structure.

The structure in extended XYZ format:
```
4
Lattice="0.000 3.406 3.406 3.406 0.000 3.406 3.406 3.406 0.000" Properties=species:S:1:pos:R:3 pbc="T T T"
Li 0.000 0.000 0.000
Lu 1.703 1.703 1.703
Cu 5.109 5.109 5.109
Sb 3.406 3.406 3.406
```

Values from the calculation:
Total magnetization (μB/atom): 0.00

=====

*x*
VASP calculation (PBE) on a geometry-optimized LiLuCuSb structure.

The structure in extended XYZ format:
```
4
Lattice="0.000 3.334 3.334 3.334 0.000 3.334 3.334 3.334 0.000" Properties=species:S:1:pos:R:3 pbc="T T T"
Li 0.000 0.000 0.000
Lu 5.001 5.001 5.001
Cu 3.334 3.334 3.334
Sb 1.667 1.667 1.667
```

Values from the calculation:
Total magnetization (μB/atom): 0.00

=====

Relative energies in meV/atom: *w* 135; *x* 0

=====

*w*
VASP calculation (PBE) on a geometry-optimized LiLuCuSi structure.

The structure in extended XYZ format:
```
4
Lattice="0.000 3.095 3.095 3.095 0.000 3.095 3.095 3.095 0.000" Properties=species:S:1:pos:R:3 pbc="T T T"
Li 0.000 0.000 0.000
Lu 4.643 4.643 4.643
Cu 3.095 3.095 3.095
Si 1.548 1.548 1.548
```

Values from the calculation:
Total magnetization (μB/atom): 0.00

=====

*x*
VASP calculation (PBE) on a geometry-optimized LiLuCuSi structure.

The structure in extended XYZ format:
```
4
Lattice="0.000 3.152 3.152 3.152 0.000 3.152 3.152 3.152 0.000" Properties=species:S:1:pos:R:3 pbc="T T T"
Li 0.000 0.000 0.000
Lu 1.576 1.576 1.576
Cu 4.728 4.728 4.728
Si 3.152 3.152 3.152
```

Values from the calculation:
Total magnetization (μB/atom): 0.00

=====

Relative energies in meV/atom: *w* 0; *x* 83

=====

*w*
VASP calculation (PBE) on a geometry-optimized LiLuTlCu structure.

The structure in extended XYZ format:
```
4
Lattice="0.000 3.365 3.365 3.365 0.000 3.365 3.365 3.365 0.000" Properties=species:S:1:pos:R:3 pbc="T T T"
Li 0.000 0.000 0.000
Lu 1.683 1.683 1.683
Tl 3.365 3.365 3.365
Cu 5.048 5.048 5.048
```

Values from the calculation:
Total magnetization (μB/atom): 0.00

=====

*x*
VASP calculation (PBE) on a geometry-optimized LiLuTlCu structure.

The structure in extended XYZ format:
```
4
Lattice="0.000 3.305 3.305 3.305 0.000 3.305 3.305 3.305 0.000" Properties=species:S:1:pos:R:3 pbc="T T T"
Li 0.000 0.000 0.000
Lu 4.957 4.957 4.957
Tl 1.652 1.652 1.652
Cu 3.305 3.305 3.305
```

Values from the calculation:
Total magnetization (μB/atom): 0.00

=====

Relative energies in meV/atom: *w* 151; *x* 0